Density functional theory data (PBE with a Hubbard U) for an optimized crystal structure of Co2O.

Cell and atoms, written as CIF:
```
data_Co2O
_chemical_formula_sum 'Co2 O1'
_space_group_name_H-M_alt 'P -4 m 2'
_space_group_IT_number 115
_cell_length_a 2.803
_cell_length_b 2.803
_cell_length_c 4.423
_cell_angle_alpha 90.00
_cell_angle_beta 90.00
_cell_angle_gamma 90.00
loop_
_space_group_symop_operation_xyz
'x,y,z'
'y,-x,-z'
'-x,-y,z'
'-y,x,-z'
'-x,y,z'
'-y,-x,-z'
'x,-y,z'
'y,x,-z'
loop_
_atom_site_label
_atom_site_fract_x
_atom_site_fract_y
_atom_site_fract_z
_atom_site_occupancy
Co1 0.000 0.500 0.196 1
O1 0.500 0.500 0.500 1
```

- Crystal system: tetragonal
- Calculated total energy: -5.2311 eV per atom